# 1
DFT (GGA-PBE) results for a relaxed structure of NdYAlCd.

Results
ΔH_f (0 K), meV/atom: -357
SG: No. 216
Magnetization, μB/f.u.: 0.00
E above lowest polymorph, meV per atom: 12

Geometry as extended XYZ:
```
4
Lattice="0.000 3.744 3.744 3.744 0.000 3.744 3.744 3.744 0.000" Properties=species:S:1:pos:R:3 pbc="T T T"
Nd 0.000 0.000 0.000
Y 3.744 3.744 3.744
Al 1.872 1.872 1.872
Cd 5.616 5.616 5.616
```


# 2
DFT (GGA-PBE) results for a relaxed structure of NdYAlCd.

Results
ΔH_f (0 K), meV/atom: -369
SG: No. 99
Magnetization, μB/f.u.: 0.00
E above lowest polymorph, meV per atom: 0

Geometry as extended XYZ:
```
4
Lattice="3.682 0.000 0.000 0.000 3.682 0.000 0.000 0.000 7.703" Properties=species:S:1:pos:R:3 pbc="T T T"
Nd 0.000 0.000 0.000
Y 0.000 0.000 3.674
Al 1.841 1.841 1.915
Cd 1.841 1.841 5.565
```


# 3
DFT (GGA-PBE) results for a relaxed structure of Nd2Al4Zn3Cd.

Results
ΔH_f (0 K), meV/atom: -384
SG: No. 115
Magnetization, μB/f.u.: 0.00

Geometry as extended XYZ:
```
10
Lattice="4.298 0.000 0.000 0.000 4.298 0.000 0.000 0.000 10.921" Properties=species:S:1:pos:R:3 pbc="T T T"
Nd 0.000 2.149 2.669
Nd 2.149 0.000 8.252
Al 0.000 0.000 0.000
Al 0.000 2.149 7.021
Al 2.149 0.000 3.900
Al 2.149 2.149 0.000
Zn 0.000 2.149 9.470
Zn 2.149 0.000 1.451
Zn 2.149 2.149 5.461
Cd 0.000 0.000 5.461
```


# 4
DFT (GGA-PBE) results for a relaxed structure of Nd4AlZn2Cd.

Results
ΔH_f (0 K), meV/atom: -310
SG: No. 166
Magnetization, μB/f.u.: 0.00

Geometry as extended XYZ:
```
8
Lattice="2.643 1.526 8.680 -2.643 1.526 8.680 0.000 -3.052 8.680" Properties=species:S:1:pos:R:3 pbc="T T T"
Nd 0.000 0.000 3.181
Nd 0.000 0.000 9.693
Nd 0.000 0.000 16.346
Nd 0.000 0.000 22.858
Al 0.000 0.000 0.000
Zn 0.000 0.000 6.479
Zn 0.000 0.000 19.559
Cd 0.000 0.000 13.019
```


# 5
DFT (GGA-PBE) results for a relaxed structure of Nd2Al3Zn4Cd.

Results
ΔH_f (0 K), meV/atom: -368
SG: No. 115
Magnetization, μB/f.u.: 0.00

Geometry as extended XYZ:
```
10
Lattice="4.317 0.000 0.000 0.000 4.317 0.000 0.000 0.000 10.831" Properties=species:S:1:pos:R:3 pbc="T T T"
Nd 0.000 2.158 2.598
Nd 2.158 0.000 8.234
Al 0.000 2.158 9.435
Al 2.158 0.000 1.396
Al 2.158 2.158 5.416
Zn 0.000 0.000 0.000
Zn 0.000 2.158 6.974
Zn 2.158 0.000 3.857
Zn 2.158 2.158 0.000
Cd 0.000 0.000 5.416
```


# 6
DFT (GGA-PBE) results for a relaxed structure of NdZrAlCd.

Results
ΔH_f (0 K), meV/atom: -200
SG: No. 216
Magnetization, μB/f.u.: 0.00

Geometry as extended XYZ:
```
4
Lattice="0.000 3.621 3.621 3.621 0.000 3.621 3.621 3.621 0.000" Properties=species:S:1:pos:R:3 pbc="T T T"
Nd 0.000 0.000 0.000
Zr 3.621 3.621 3.621
Al 5.431 5.431 5.431
Cd 1.810 1.810 1.810
```


# 7
DFT (GGA-PBE) results for a relaxed structure of AlCd2Ni2.

Results
ΔH_f (0 K), meV/atom: -115
SG: No. 127
Magnetization, μB/f.u.: 0.00

Geometry as extended XYZ:
```
10
Lattice="6.192 0.000 0.000 0.000 6.192 0.000 0.000 0.000 4.149" Properties=species:S:1:pos:R:3 pbc="T T T"
Al 0.000 0.000 0.000
Al 3.096 3.096 0.000
Cd 1.031 2.065 2.075
Cd 2.065 5.161 2.075
Cd 4.127 1.031 2.075
Cd 5.161 4.127 2.075
Ni 0.859 3.955 0.000
Ni 2.237 0.859 0.000
Ni 3.955 5.333 0.000
Ni 5.333 2.237 0.000
```


# 8
DFT (GGA-PBE) results for a relaxed structure of AlCd2Ni.

Results
ΔH_f (0 K), meV/atom: 146
SG: No. 12
Magnetization, μB/f.u.: 0.00

Geometry as extended XYZ:
```
4
Lattice="2.830 -4.829 0.000 2.830 4.829 0.000 -1.369 0.000 2.534" Properties=species:S:1:pos:R:3 pbc="T T T"
Al 0.000 0.000 0.000
Cd 0.731 2.415 1.267
Cd 0.731 -2.415 1.267
Ni 2.830 0.000 0.000
```


# 9
DFT (GGA-PBE) results for a relaxed structure of Al2CdNi.

Results
ΔH_f (0 K), meV/atom: 107
SG: No. 216
Magnetization, μB/f.u.: 0.00

Geometry as extended XYZ:
```
4
Lattice="0.000 3.171 3.171 3.171 0.000 3.171 3.171 3.171 0.000" Properties=species:S:1:pos:R:3 pbc="T T T"
Al 0.000 0.000 0.000
Al 1.585 1.585 1.585
Cd 4.756 4.756 4.756
Ni 3.171 3.171 3.171
```


# 10
DFT (GGA-PBE) results for a relaxed structure of AlCd2Ni.

Results
ΔH_f (0 K), meV/atom: 69
SG: No. 123
Magnetization, μB/f.u.: 0.00

Geometry as extended XYZ:
```
4
Lattice="4.047 0.000 0.000 0.000 4.047 0.000 0.000 0.000 4.132" Properties=species:S:1:pos:R:3 pbc="T T T"
Al 0.000 0.000 0.000
Cd 0.000 2.023 2.066
Cd 2.023 0.000 2.066
Ni 2.023 2.023 0.000
```


# 11
DFT (GGA-PBE) results for a relaxed structure of Al2CdNi.

Results
ΔH_f (0 K), meV/atom: -108
SG: No. 99
Magnetization, μB/f.u.: 0.00

Geometry as extended XYZ:
```
4
Lattice="2.849 0.000 0.000 0.000 2.849 0.000 0.000 0.000 7.897" Properties=species:S:1:pos:R:3 pbc="T T T"
Al 0.000 0.000 0.000
Al 1.424 1.424 2.074
Cd 0.000 0.000 4.484
Ni 1.424 1.424 6.468
```


# 12
DFT (GGA-PBE) results for a relaxed structure of Al2Cd2Ni.

Results
ΔH_f (0 K), meV/atom: 101
SG: No. 127
Magnetization, μB/f.u.: 0.00

Geometry as extended XYZ:
```
10
Lattice="6.404 0.000 0.000 0.000 6.404 0.000 0.000 0.000 4.467" Properties=species:S:1:pos:R:3 pbc="T T T"
Al 0.973 2.230 0.000
Al 2.230 5.432 0.000
Al 4.175 0.973 0.000
Al 5.432 4.175 0.000
Cd 1.068 4.270 2.233
Cd 2.135 1.068 2.233
Cd 4.270 5.337 2.233
Cd 5.337 2.135 2.233
Ni 0.000 0.000 0.000
Ni 3.202 3.202 0.000
```


- Which value of ΔH_f (0 K) does entry 11 give?
  -108 meV/atom